P) SbTeSe2 (PBE, optimized geometry); DOS at the Fermi energy = 2.43 states/eV per cell; M_tot = 0.00 μB per cell
1.0
2.080 1.201 7.244
-2.080 1.201 7.244
0.000 -2.401 7.244
Sb Te Se
1 1 2
Direct
0.000 0.000 0.000
0.500 0.500 0.500
0.255 0.255 0.255
0.745 0.745 0.745



Q) SbTeSe2 (PBE, optimized geometry); DOS at the Fermi energy = 3.05 states/eV per cell; M_tot = 0.00 μB per cell
1.0
-1.889 3.687 4.225
1.889 -3.687 4.225
1.889 3.687 -4.225
Sb Te Se
1 1 2
Direct
0.000 0.000 0.000
0.500 0.500 0.000
0.244 0.744 0.500
0.756 0.256 0.500



R) SbTeSe2 (PBE, optimized geometry); DOS at the Fermi energy = 1.65 states/eV per cell; M_tot = 0.00 μB per cell
1.0
3.790 0.000 0.000
0.000 3.790 0.000
0.000 0.000 9.073
Sb Te Se
1 1 2
Direct
0.000 0.000 0.000
0.500 0.500 0.622
0.000 0.000 0.530
0.500 0.500 0.117



P) is the most stable structure; the next one sits 0.077 eV/atom above it.



P) Sb3TeSe (PBE, optimized geometry); DOS at the Fermi energy = 7.58 states/eV per cell; M_tot = 0.00 μB per cell
1.0
5.686 0.000 0.000
0.000 5.686 0.000
0.000 0.000 5.686
Sb Te Se
3 1 1
Direct
0.000 0.000 0.500
0.000 0.500 0.000
0.500 0.000 0.000
0.000 0.000 0.000
0.500 0.500 0.500



Q) Sb3TeSe (PBE, optimized geometry); DOS at the Fermi energy = 4.46 states/eV per cell; M_tot = 0.00 μB per cell
1.0
5.422 0.000 0.000
0.000 5.422 0.000
0.000 0.000 5.422
Sb Te Se
3 1 1
Direct
0.000 0.000 0.500
0.000 0.500 0.000
0.500 0.000 0.000
0.500 0.500 0.500
0.000 0.000 0.000



Q) is the most stable structure; the next one sits 0.367 eV/atom above it.



P) SbTeSe3 (PBE, optimized geometry); DOS at the Fermi energy = 2.00 states/eV per cell; M_tot = 0.00 μB per cell
1.0
6.087 0.000 0.000
0.000 4.497 0.000
-2.253 0.000 13.870
Sb Te Se
2 2 6
Direct
0.052 0.250 0.118
0.948 0.750 0.882
0.026 0.250 0.633
0.974 0.750 0.367
0.210 0.250 0.815
0.215 0.750 0.594
0.262 0.750 0.029
0.738 0.250 0.971
0.785 0.250 0.406
0.790 0.750 0.185



Q) SbTeSe3 (PBE, optimized geometry); DOS at the Fermi energy = 3.37 states/eV per cell; M_tot = 0.00 μB per cell
1.0
6.729 0.000 0.000
0.000 4.297 0.000
-1.997 0.000 10.902
Sb Te Se
2 2 6
Direct
0.245 0.250 0.004
0.755 0.750 0.996
0.385 0.250 0.350
0.615 0.750 0.650
0.054 0.750 0.858
0.270 0.750 0.522
0.439 0.750 0.168
0.561 0.250 0.832
0.730 0.250 0.478
0.946 0.250 0.142



R) SbTeSe3 (PBE, optimized geometry); DOS at the Fermi energy = 5.60 states/eV per cell; M_tot = 0.00 μB per cell
1.0
5.298 0.000 0.000
0.000 5.298 0.000
0.000 0.000 5.298
Sb Te Se
1 1 3
Direct
0.000 0.000 0.000
0.500 0.500 0.500
0.000 0.000 0.500
0.000 0.500 0.000
0.500 0.000 0.000



Q) is the most stable structure; the next one sits 0.005 eV/atom above it.



P) TlSbTe2Se (PBE, optimized geometry); DOS at the Fermi energy = 4.72 states/eV per cell; M_tot = 0.00 μB per cell
1.0
5.582 0.000 0.000
0.000 5.582 0.000
0.000 0.000 5.502
Tl Sb Te Se
1 1 2 1
Direct
0.000 0.000 0.000
0.500 0.500 0.000
0.000 0.500 0.500
0.500 0.000 0.500
0.500 0.500 0.500



Q) TlSbTe2Se (PBE, optimized geometry); DOS at the Fermi energy = 7.59 states/eV per cell; M_tot = 0.45 μB per cell
1.0
5.668 0.000 0.000
0.000 5.668 0.000
0.000 0.000 5.813
Tl Sb Te Se
1 1 2 1
Direct
0.000 0.000 0.000
0.000 0.000 0.500
0.000 0.500 0.000
0.500 0.000 0.000
0.500 0.500 0.500



P) is the most stable structure; the next one sits 0.636 eV/atom above it.



P) TlSb2TeSe (PBE, optimized geometry); DOS at the Fermi energy = 6.05 states/eV per cell; M_tot = 0.76 μB per cell
1.0
5.524 0.000 0.000
0.000 5.524 0.000
0.000 0.000 5.595
Tl Sb Te Se
1 2 1 1
Direct
0.000 0.000 0.000
0.000 0.500 0.500
0.500 0.000 0.500
0.500 0.500 0.000
0.500 0.500 0.500



Q) TlSb2TeSe (PBE, optimized geometry); DOS at the Fermi energy = 6.60 states/eV per cell; M_tot = 0.00 μB per cell
1.0
5.728 0.000 0.000
0.000 5.728 0.000
0.000 0.000 5.617
Tl Sb Te Se
1 2 1 1
Direct
0.000 0.000 0.000
0.000 0.500 0.000
0.500 0.000 0.000
0.000 0.000 0.500
0.500 0.500 0.500



P) is the most stable structure; the next one sits 0.599 eV/atom above it.



P) SbTe2WSe (PBE, optimized geometry); DOS at the Fermi energy = 2.93 states/eV per cell; M_tot = 2.93 μB per cell
1.0
5.316 0.000 0.000
0.000 5.316 0.000
0.000 0.000 5.366
Sb Te W Se
1 2 1 1
Direct
0.000 0.000 0.000
0.000 0.500 0.500
0.500 0.000 0.500
0.500 0.500 0.000
0.000 0.000 0.500



Q) SbTe2WSe (PBE, optimized geometry); DOS at the Fermi energy = 5.09 states/eV per cell; M_tot = 0.00 μB per cell
1.0
5.185 0.000 0.000
0.000 5.185 0.000
0.000 0.000 5.365
Sb Te W Se
1 2 1 1
Direct
0.000 0.000 0.000
0.000 0.500 0.500
0.500 0.000 0.500
0.000 0.000 0.500
0.500 0.500 0.000



Q) is the most stable structure; the next one sits 0.890 eV/atom above it.



P) YSb2TeSe (PBE, optimized geometry); DOS at the Fermi energy = 6.22 states/eV per cell; M_tot = 0.97 μB per cell
1.0
5.847 0.000 0.000
0.000 5.847 0.000
0.000 0.000 5.655
Y Sb Te Se
1 2 1 1
Direct
0.000 0.000 0.000
0.000 0.500 0.000
0.500 0.000 0.000
0.000 0.000 0.500
0.500 0.500 0.500



Q) YSb2TeSe (PBE, optimized geometry); DOS at the Fermi energy = 3.65 states/eV per cell; M_tot = 0.00 μB per cell
1.0
5.393 0.000 0.000
0.000 5.393 0.000
0.000 0.000 5.353
Y Sb Te Se
1 2 1 1
Direct
0.000 0.000 0.000
0.000 0.500 0.500
0.500 0.000 0.500
0.500 0.500 0.000
0.500 0.500 0.500



Q) is the most stable structure; the next one sits 0.330 eV/atom above it.



P) ZrSb2TeSe (PBE, optimized geometry); DOS at the Fermi energy = 5.07 states/eV per cell; M_tot = 0.19 μB per cell
1.0
5.325 0.000 0.000
0.000 5.325 0.000
0.000 0.000 5.267
Zr Sb Te Se
1 2 1 1
Direct
0.000 0.000 0.000
0.000 0.500 0.500
0.500 0.000 0.500
0.500 0.500 0.000
0.500 0.500 0.500



Q) ZrSb2TeSe (PBE, optimized geometry); DOS at the Fermi energy = 5.99 states/eV per cell; M_tot = 0.00 μB per cell
1.0
5.587 0.000 0.000
0.000 5.587 0.000
0.000 0.000 5.401
Zr Sb Te Se
1 2 1 1
Direct
0.000 0.000 0.000
0.000 0.500 0.000
0.500 0.000 0.000
0.000 0.000 0.500
0.500 0.500 0.500



Q) is the most stable structure; the next one sits 0.285 eV/atom above it.